Entry 1:
A geometry-optimized Pm2Mg2Ga4Ge structure. Source: Alexandria via LeMat-Bulk, functional PBE.

Output
Formation energy from the elements in meV/atom: -202.0
Total energy in eV/atom: -3.470

Unit cell a=6.721 b=6.721 c=6.721 alpha=118.68 beta=118.68 gamma=92.30
Fractional positions:
Pm1 0.201 0.201 0.000
Pm2 0.799 0.799 0.000
Mg1 0.250 0.750 0.500
Mg2 0.750 0.250 0.500
Ga1 0.245 0.245 0.491
Ga2 0.245 0.755 0.000
Ga3 0.755 0.245 0.000
Ga4 0.755 0.755 0.509
Ge1 0.500 0.500 0.000

---

Entry 2:
A geometry-optimized PmMg2GaGe2 structure. Source: Alexandria via LeMat-Bulk, functional PBE.

Output
Formation energy from the elements in meV/atom: -391.9
Total energy in eV/atom: -3.759

Unit cell a=4.173 b=8.830 c=6.976 alpha=90.00 beta=90.00 gamma=90.00
Fractional positions:
Pm1 0.000 0.083 0.000
Pm2 0.000 0.917 0.500
Mg1 0.000 0.316 0.413
Mg2 0.000 0.684 0.913
Mg3 0.500 0.425 0.091
Mg4 0.500 0.575 0.591
Ga1 0.500 0.199 0.692
Ga2 0.500 0.801 0.192
Ge1 0.000 0.386 0.798
Ge2 0.000 0.614 0.298
Ge3 0.500 0.133 0.309
Ge4 0.500 0.867 0.809

---

Entry 3:
A geometry-optimized Mg2GaGe2Pt5 structure. Source: Alexandria via LeMat-Bulk, functional PBE.

Output
Formation energy from the elements in meV/atom: -552.3
Total energy in eV/atom: -5.118

Unit cell a=9.966 b=9.966 c=3.358 alpha=90.00 beta=90.00 gamma=90.00
Fractional positions:
Mg1 0.167 0.333 0.000
Mg2 0.333 0.833 0.000
Mg3 0.667 0.167 0.000
Mg4 0.833 0.667 0.000
Ga1 0.000 0.000 0.000
Ga2 0.500 0.500 0.000
Ge1 0.140 0.640 0.000
Ge2 0.360 0.140 0.000
Ge3 0.640 0.860 0.000
Ge4 0.860 0.360 0.000
Pt1 0.000 0.500 0.500
Pt2 0.023 0.794 0.500
Pt3 0.206 0.023 0.500
Pt4 0.294 0.523 0.500
Pt5 0.477 0.294 0.500
Pt6 0.500 0.000 0.500
Pt7 0.523 0.706 0.500
Pt8 0.706 0.477 0.500
Pt9 0.794 0.977 0.500
Pt10 0.977 0.206 0.500